[1]
Computed, not measured: a relaxed Cs4Na3Cd2 crystal at the PBE level of DFT.

Structure (extended XYZ):
```
9
Lattice="-1.760 2.842 4.218 -9.274 -1.665 -2.749 3.826 -9.200 4.361" Properties=species:S:1:pos:R:3 pbc="T T T"
Cs -4.986 -4.723 1.102
Cs -2.223 -3.299 4.729
Cs -8.445 -1.223 0.734
Cs 1.236 -6.800 5.097
Cd -4.540 -0.814 2.087
Cd -2.668 -7.209 3.743
Na -5.457 -6.132 5.288
Na -1.751 -1.890 0.543
Na -4.637 -0.832 -1.374
```

Output
space-group type	C2/m, No. 12
energy of formation	-0.014	eV per atom
M_tot	0.0	μB per cell

***

[2]
Computed, not measured: a relaxed Rb5CdAu2 crystal at the PBE level of DFT.

Structure (extended XYZ):
```
16
Lattice="-7.015 0.077 6.038 -5.874 2.061 -6.850 5.106 -9.682 -1.038" Properties=species:S:1:pos:R:3 pbc="T T T"
Au -7.918 1.857 -3.739
Au -4.970 0.281 2.927
Au -9.822 1.333 1.150
Au -3.066 0.805 -1.962
Cd -0.669 -4.307 -0.722
Cd -7.113 -3.238 -1.128
Rb -8.126 -1.582 2.361
Rb 2.154 -6.981 0.184
Rb -2.297 -6.611 2.103
Rb 0.344 -5.963 -4.211
Rb -6.444 1.069 -0.406
Rb -5.485 -0.933 -3.953
Rb -9.936 -0.564 -2.034
Rb 0.000 0.000 0.000
Rb -4.107 -5.593 -2.292
Rb -3.675 -1.951 0.442
```

Output
space-group type	I4/mcm, No. 140
energy of formation	-0.165	eV per atom
M_tot	0.0	μB per cell

***

[3]
Computed, not measured: a relaxed PrDy5Bi5 crystal at the PBE level of DFT.

Structure (extended XYZ):
```
11
Lattice="-0.815 -5.801 -2.385 6.854 3.113 -1.527 0.554 -3.447 8.194" Properties=species:S:1:pos:R:3 pbc="T T T"
Pr 0.000 0.000 0.000
Bi 4.219 -5.029 2.405
Bi -0.407 -2.901 -1.192
Bi 2.684 -2.779 5.843
Bi 3.910 -3.356 -1.560
Bi 2.375 -1.105 1.877
Dy 1.852 -3.989 0.684
Dy 4.742 -2.146 3.599
Dy 0.277 -1.723 4.097
Dy 2.195 -5.699 4.724
Dy 4.398 -0.436 -0.441
```

Output
space-group type	C2/m, No. 12
energy of formation	-0.673	eV per atom
M_tot	0.0	μB per cell

***

[4]
Computed, not measured: a relaxed Na3In5F12 crystal at the PBE level of DFT.

Structure (extended XYZ):
```
80
Lattice="-6.517 -10.378 1.555 11.882 -2.172 2.587 -4.328 8.752 7.567" Properties=species:S:1:pos:R:3 pbc="T T T"
F 1.463 -6.954 7.791
F -0.954 3.434 7.867
F -3.585 1.936 8.950
F 2.254 -4.267 2.628
F -3.667 -7.078 1.669
F 2.606 1.915 6.203
F -4.191 -4.486 2.556
F -4.974 -1.242 8.878
F 3.847 -1.395 1.511
F 1.522 -2.101 7.720
F -8.849 -2.180 8.633
F 0.765 -4.090 9.618
F 1.992 -7.233 3.841
F -4.521 -1.913 6.144
F 6.012 -2.557 2.830
F -2.756 4.282 5.826
F -1.569 -5.713 5.506
F -2.809 -2.404 10.197
F -3.823 0.526 4.986
F 5.229 0.688 9.152
F -2.671 -8.177 4.804
F 4.861 -4.324 6.723
F 8.850 0.372 5.721
F 4.944 -2.013 8.282
F -3.907 -1.785 3.427
F -0.426 3.156 3.918
F 9.886 -1.618 3.076
F 1.777 -3.538 5.343
F -4.329 -6.091 5.628
F 3.793 -8.080 5.883
F -1.566 -5.287 2.064
F 4.705 3.279 10.039
F 2.272 -0.793 5.373
F -0.740 -0.261 6.365
F 3.709 4.379 6.904
F -0.397 -9.736 4.077
F 4.622 -5.734 2.759
F 5.367 2.293 6.081
F -1.235 -3.005 6.335
F 2.603 1.489 9.645
F 0.272 0.291 2.090
F -1.217 0.468 9.080
F 5.626 -10.439 4.119
F 1.434 5.938 7.631
F -7.813 -4.171 5.988
F 5.559 -1.885 5.564
F -4.588 6.640 7.589
F -0.485 -1.698 3.988
In 5.941 -1.086 1.293
In 1.052 -0.458 9.533
In -1.522 -3.875 8.652
In -5.422 -0.813 4.561
In -3.258 -5.189 0.777
In -2.164 4.376 3.784
In 2.683 -6.275 2.071
In 8.227 -3.401 3.598
In 2.559 0.076 3.056
In -5.437 -4.154 6.737
In 6.474 0.355 4.972
In 0.519 -1.899 5.854
In -0.014 -3.341 2.176
In -7.189 -0.397 8.111
In 0.916 -5.859 5.620
In 3.777 3.290 5.077
In 0.000 0.000 0.000
In 0.122 2.061 6.088
In -4.204 2.401 6.582
In 5.242 -6.199 5.127
Na -2.863 -0.737 7.617
Na 3.763 -0.051 7.252
Na -2.725 -3.747 4.456
Na 3.901 -3.062 4.091
Na 2.668 -9.616 4.246
Na -0.973 -7.504 3.082
Na 2.010 3.706 8.627
Na -5.299 -7.164 3.576
Na -1.767 0.416 3.550
Na 2.804 -4.214 8.159
Na 6.336 3.366 8.133
Na -1.631 5.818 7.462
```

Output
space-group type	Ia-3d, No. 230
uncorrected formation energy	-2260	meV per atom
M_tot	0.0	μB per cell

***

[5]
Computed, not measured: a relaxed CaCeTlPd crystal at the PBE level of DFT.

Structure (extended XYZ):
```
4
Lattice="-3.801 3.499 -1.058 -2.699 -0.324 -4.519 -5.055 -1.502 0.050" Properties=species:S:1:pos:R:3 pbc="T T T"
Ca -8.666 1.255 -4.146
Pd -5.778 0.837 -2.764
Tl 0.000 0.000 0.000
Ce -2.889 0.418 -1.382
```

Output
space-group type	F-43m, No. 216
energy of formation	-0.415	eV per atom
M_tot	0.9	μB per cell

***

[6]
Computed, not measured: a relaxed SrTbHo crystal at the PBE level of DFT.

Structure (extended XYZ):
```
6
Lattice="-1.516 2.076 -2.701 -3.011 -1.226 -1.828 -12.324 8.438 10.817" Properties=species:S:1:pos:R:3 pbc="T T T"
Tb -13.465 8.202 7.972
Tb -6.055 3.470 2.758
Ho -1.249 0.700 0.510
Ho -5.948 2.534 -0.597
Sr -10.066 6.491 7.319
Sr -9.455 5.181 3.411
```

Output
relative energy among the computed polymorphs	0.0000	eV/atom
space-group type	C2/m, No. 12
energy of formation	0.129	eV per atom
M_tot	0.2	μB per cell

***

[7]
Computed, not measured: a relaxed NaPuF crystal at the PBE level of DFT.

Structure (extended XYZ):
```
6
Lattice="-0.206 -2.841 -2.202 2.835 -0.788 0.751 -5.586 -4.231 5.979" Properties=species:S:1:pos:R:3 pbc="T T T"
Na -4.614 -5.906 3.634
Na 1.658 -1.954 0.895
Pu -0.942 -4.420 1.375
Pu -2.014 -3.440 3.153
F -3.104 -4.876 5.107
F 0.148 -2.985 -0.578
```

Output
space-group type	P2_1/m, No. 11
uncorrected formation energy	-1482	meV per atom
M_tot	0.0	μB per cell

***

[8]
Computed, not measured: a relaxed TaMoAu2 crystal at the PBE level of DFT.

Structure (extended XYZ):
```
4
Lattice="9.836 -0.016 -0.010 9.415 2.846 -0.010 9.415 1.384 2.487" Properties=species:S:1:pos:R:3 pbc="T T T"
Mo 14.371 2.112 1.237
Au 0.026 0.004 0.002
Au 7.122 1.047 0.613
Ta 21.482 3.157 1.849
```

Output
relative energy among the computed polymorphs	0.1702	eV/atom
space-group type	R3m, No. 160
energy of formation	0.199	eV per atom
M_tot	0.0	μB per cell

***

[9]
Computed, not measured: a relaxed Y4AlPt crystal at the PBE level of DFT.

Structure (extended XYZ):
```
6
Lattice="0.000 4.270 4.270 4.270 0.000 4.270 4.270 4.270 0.000" Properties=species:S:1:pos:R:3 pbc="T T T"
Y 5.338 3.201 5.338
Y 3.201 3.201 3.201
Y 3.201 5.338 5.338
Y 5.338 5.338 3.201
Al 6.405 6.405 6.405
Pt 0.000 0.000 0.000
```

Output
relative energy among the computed polymorphs	0.9948	eV/atom
space-group type	F-43m, No. 216
energy of formation	0.358	eV per atom
M_tot	0.0	μB per cell

***

[10]
Computed, not measured: a relaxed NpTiVIr crystal at the PBE level of DFT.

Structure (extended XYZ):
```
4
Lattice="4.503 0.000 0.000 2.252 3.900 0.000 2.252 1.300 3.677" Properties=species:S:1:pos:R:3 pbc="T T T"
Np 0.000 0.000 0.000
Ir 4.503 2.600 1.838
Ti 2.252 1.300 0.919
V 6.755 3.900 2.758
```

Output
space-group type	F-43m, No. 216
energy of formation	-0.019	eV per atom
M_tot	3.7	μB per cell

***

[11]
Computed, not measured: a relaxed TiAl2Pd crystal at the PBE level of DFT.

Structure (extended XYZ):
```
4
Lattice="2.903 0.000 0.000 1.452 2.514 0.000 1.452 0.838 8.691" Properties=species:S:1:pos:R:3 pbc="T T T"
Ti 2.903 1.676 4.323
Pd 2.903 1.676 0.009
Al 1.452 0.838 2.057
Al 1.452 0.838 6.646
```

Output
space-group type	R3m, No. 160
energy of formation	-0.472	eV per atom
M_tot	0.0	μB per cell

***

[12]
Computed, not measured: a relaxed SmHo2Er2Sc2 crystal at the PBE level of DFT.

Structure (extended XYZ):
```
7
Lattice="3.382 0.000 0.000 -1.691 8.541 -0.746 0.000 -2.983 7.570" Properties=species:S:1:pos:R:3 pbc="T T T"
Er 1.691 4.296 1.153
Er 0.000 1.262 5.671
Ho 1.691 -1.494 6.825
Ho 0.000 7.052 -0.001
Sc 0.000 4.145 4.077
Sc 1.691 1.413 2.746
Sm 0.000 -1.492 3.785
```

Output
space-group type	C2/m, No. 12
energy of formation	0.181	eV per atom
M_tot	0.0	μB per cell

***

[13]
Computed, not measured: a relaxed TlCd2 crystal at the PBE level of DFT.

Structure (extended XYZ):
```
9
Lattice="-0.438 -2.288 2.328 -2.250 -6.082 -6.402 8.700 0.928 2.549" Properties=species:S:1:pos:R:3 pbc="T T T"
Cd 7.996 -0.963 0.559
Cd 4.449 -3.555 -2.658
Cd 2.087 -2.987 -0.214
Cd 7.035 -4.124 -0.401
Cd 3.121 -6.630 -3.600
Cd 0.454 -5.791 -5.607
Tl 5.046 -1.409 -0.436
Tl 1.401 -3.743 -3.416
Tl -0.216 -1.146 1.162
```

Output
space-group type	Amm2, No. 38
energy of formation	0.084	eV per atom
M_tot	0.0	μB per cell

***

[14]
Computed, not measured: a relaxed Pr3Ge2O crystal at the PBE level of DFT.

Structure (extended XYZ):
```
24
Lattice="4.163 0.000 0.000 0.000 8.854 0.000 0.000 0.000 17.158" Properties=species:S:1:pos:R:3 pbc="T T T"
Pr 1.041 4.461 6.758
Pr 1.041 7.351 12.519
Pr 3.122 4.393 10.399
Pr 1.041 5.662 15.875
Pr 3.122 5.930 3.940
Pr 3.122 8.820 15.337
Pr 3.122 3.192 1.282
Pr 3.122 7.619 7.297
Pr 1.041 1.235 9.861
Pr 3.122 1.503 4.638
Pr 1.041 0.034 1.820
Pr 1.041 2.924 13.217
O 1.041 3.346 10.883
O 3.122 1.081 2.305
O 1.041 7.773 14.853
O 3.122 5.508 6.274
Ge 1.041 6.670 9.287
Ge 1.041 2.243 16.450
Ge 1.041 3.654 3.718
Ge 3.122 2.184 7.871
Ge 3.122 5.200 13.440
Ge 3.122 0.773 12.296
Ge 1.041 8.081 4.861
Ge 3.122 6.611 0.708
```

Output
relative energy among the computed polymorphs	0.0000	eV/atom
space-group type	Pnma, No. 62
uncorrected formation energy	-1406	meV per atom
M_tot	0.0	μB per cell

***

[15]
Computed, not measured: a relaxed LaPrTmZn crystal at the PBE level of DFT.

Structure (extended XYZ):
```
4
Lattice="3.643 0.000 0.000 0.000 3.643 0.000 0.000 0.000 8.860" Properties=species:S:1:pos:R:3 pbc="T T T"
Tm 1.822 1.822 3.303
Zn 0.000 0.000 4.886
La 0.000 0.000 0.756
Pr 1.822 1.822 6.868
```

Output
relative energy among the computed polymorphs	0.0000	eV/atom
space-group type	P4mm, No. 99
energy of formation	-0.146	eV per atom
M_tot	0.0	μB per cell

***

[16]
Computed, not measured: a relaxed CaNd6Y5 crystal at the PBE level of DFT.

Structure (extended XYZ):
```
12
Lattice="6.257 0.010 -0.917 -1.066 8.069 0.160 0.113 0.593 8.118" Properties=species:S:1:pos:R:3 pbc="T T T"
Nd 3.768 7.750 4.143
Nd 0.906 6.481 5.954
Nd 1.135 3.468 0.510
Nd 4.398 2.191 1.407
Nd 1.536 0.922 3.219
Nd 4.169 5.205 6.852
Y 2.652 4.336 3.681
Y -0.285 3.119 5.430
Y -0.668 5.543 2.849
Y 3.040 1.874 6.302
Y 2.264 6.798 1.060
Ca 0.000 0.000 0.000
```

Output
space-group type	C2/m, No. 12
energy of formation	0.028	eV per atom
M_tot	0.0	μB per cell

***

[17]
Computed, not measured: a relaxed SmErNp2P4 crystal at the PBE level of DFT.

Structure (extended XYZ):
```
8
Lattice="3.991 0.000 0.000 0.000 6.915 0.119 0.000 -2.416 6.485" Properties=species:S:1:pos:R:3 pbc="T T T"
P 1.996 3.405 4.908
P 1.996 1.094 1.697
P 0.000 -0.112 4.825
P 0.000 4.612 1.780
Er 0.000 0.000 0.000
Np 1.996 -1.208 3.243
Np 0.000 2.250 3.302
Sm 1.996 3.458 0.060
```

Output
space-group type	P2/m, No. 10
energy of formation	-1.222	eV per atom
M_tot	7.3	μB per cell

***

[18]
Computed, not measured: a relaxed NdHo3S crystal at the PBE level of DFT.

Structure (extended XYZ):
```
5
Lattice="-1.555 1.553 -4.826 3.879 -2.886 -2.179 -3.265 -4.169 -0.290" Properties=species:S:1:pos:R:3 pbc="T T T"
Ho -0.778 0.777 -2.413
Ho 1.940 -1.443 -1.089
Ho -1.633 -2.085 -0.145
S 0.000 0.000 0.000
Nd -0.471 -2.751 -3.648
```

Output
space-group type	Pm-3m, No. 221
uncorrected formation energy	-648	meV per atom
M_tot	0.0	μB per cell

***

[19]
Computed, not measured: a relaxed BaSi crystal at the PBE level of DFT.

Structure (extended XYZ):
```
32
Lattice="-4.966 -10.037 -7.330 4.999 1.617 -5.601 7.221 -6.837 4.470" Properties=species:S:1:pos:R:3 pbc="T T T"
Ba 5.720 -5.416 3.541
Ba -2.170 -7.411 -6.710
Ba 7.611 -4.031 0.364
Ba 6.925 -8.654 1.049
Ba 6.942 -12.864 -5.416
Ba 1.518 -5.631 -5.536
Ba 5.814 -4.427 -3.986
Ba 4.609 -1.188 -1.495
Ba 0.832 -10.254 -4.851
Ba -0.374 -7.016 -2.359
Ba 3.940 -10.021 -7.275
Ba 1.501 -1.421 0.929
Ba 5.736 -9.625 -2.925
Ba 2.812 -1.584 -5.845
Ba 3.923 -5.811 -0.809
Ba 2.629 -9.858 -0.501
Si 3.242 1.049 -3.633
Si 7.181 -6.664 -1.848
Si 3.684 -12.011 -4.377
Si 2.573 -7.784 -9.413
Si 1.774 -3.641 -8.434
Si 8.666 -6.184 -3.513
Si -1.740 -4.778 -4.497
Si 2.198 -12.491 -2.713
Si 1.071 -4.054 -1.283
Si 4.370 -7.388 -5.063
Si 1.088 -8.264 -7.749
Si 1.757 0.568 -1.968
Si 2.884 -7.869 -3.398
Si 4.353 -3.178 1.403
Si 7.867 -2.041 -2.534
Si 2.556 -3.574 -2.947
```

Output
space-group type	Fddd, No. 70
uncorrected formation energy	-200	meV per atom
M_tot	0.0	μB per cell

***

[20]
Computed, not measured: a relaxed LiNpSn2Rh4 crystal at the PBE level of DFT.

Structure (extended XYZ):
```
8
Lattice="4.508 0.000 0.000 2.254 3.904 0.000 2.254 1.301 7.721" Properties=species:S:1:pos:R:3 pbc="T T T"
Rh 6.763 3.904 2.910
Rh 4.508 2.603 6.549
Rh 2.254 1.301 4.811
Rh 4.508 2.603 1.172
Li 4.508 2.603 3.860
Sn 6.763 3.904 5.598
Sn 2.254 1.301 2.123
Np 0.000 0.000 0.000
```

Output
space-group type	R-3m, No. 166
energy of formation	-0.479	eV per atom
M_tot	3.5	μB per cell